(1)
## ZnMoPt2 (PBE)

Data for an optimized crystal structure of ZnMoPt2.

a = 4.8218 Å, b = 4.8218 Å, c = 4.8218 Å
α = 131.91°, β = 131.91°, γ = 70.37°
Sites, in units of the cell vectors:
Zn (0.0000, 0.0000, 0.0000)
Mo (0.5000, 0.5000, 0.0000)
Pt (0.2500, 0.7500, 0.5000)
Pt (0.7500, 0.2500, 0.5000)

uncorrected energy	-6.27	eV per atom



(2)
## Ca2LaIrO (PBE)

Data for an optimized crystal structure of Ca2LaIrO.

a = 4.4835 Å, b = 4.4835 Å, c = 5.3225 Å
α = 90.00°, β = 90.00°, γ = 90.00°
Sites, in units of the cell vectors:
Ca (0.0000, 0.5000, 0.0000)
Ca (0.5000, 0.0000, 0.0000)
La (0.0000, 0.0000, 0.5000)
Ir (0.5000, 0.5000, 0.5000)
O (0.0000, 0.0000, 0.0000)

formation energy without anion corrections	-1323	meV/atom
uncorrected energy	-5.87	eV per atom